# 1
Below is a geometry-optimized RbNaCr2I structure, with properties calculated at the GGA-PBE level.

Computed properties:
Formation energy without anion corrections ... 4.163 eV per formula unit
Space-group type ... P4/mmm (123)

a = 5.6925 Å, b = 6.7670 Å, c = 5.6925 Å
α = 90.00°, β = 90.00°, γ = 90.00°
Element x y z (fractional)
I1 0.0000 0.0000 0.0000
Cr1 0.0000 0.0000 0.5000
Cr2 0.5000 0.0000 0.0000
Rb1 0.0000 0.5000 0.0000
Na1 0.5000 0.5000 0.5000

***

# 2
Below is a geometry-optimized RbNaCr2I8 structure, with properties calculated at the GGA-PBE level.

Computed properties:
Formation energy without anion corrections ... -6.875 eV per formula unit
Space-group type ... R-3 (148)

a = 7.5563 Å, b = 7.5563 Å, c = 11.5184 Å
α = 70.85°, β = 70.85°, γ = 60.00°
Element x y z (fractional)
Rb1 0.5000 0.5000 0.5000
Na1 0.0000 0.0000 0.0000
Cr1 0.2504 0.2504 0.2488
Cr2 0.7496 0.7496 0.7512
I1 0.1704 0.1704 0.4888
I2 0.5947 0.2863 0.1880
I3 0.8296 0.8296 0.5112
I4 0.9310 0.5947 0.1880
I5 0.0690 0.4053 0.8120
I6 0.2863 0.9310 0.1880
I7 0.7137 0.0690 0.8120
I8 0.4053 0.7137 0.8120

***

# 3
Below is a geometry-optimized Rb2NaCrI6 structure, with properties calculated at the GGA-PBE level.

Computed properties:
Formation energy without anion corrections ... -9.601 eV per formula unit
Space-group type ... Fm-3m (225)

a = 8.3581 Å, b = 8.3581 Å, c = 8.3581 Å
α = 60.00°, β = 60.00°, γ = 90.00°
Element x y z (fractional)
I1 0.2332 0.2332 0.5336
I2 0.7668 0.7668 0.4664
I3 0.2332 0.2332 0.0000
I4 0.7668 0.7668 0.0000
I5 0.7668 0.2332 0.0000
I6 0.2332 0.7668 0.0000
Cr1 0.0000 0.0000 0.0000
Rb1 0.7500 0.2500 0.5000
Rb2 0.2500 0.7500 0.5000
Na1 0.5000 0.5000 0.0000

***

# 4
Below is a geometry-optimized NaCrSb2I structure, with properties calculated at the GGA-PBE level.

Computed properties:
Formation energy without anion corrections ... 0.163 eV per formula unit
Space-group type ... P4/mmm (123)
Energy above the lowest structure with this stoichiometry ... 0.00 eV per formula unit

a = 5.0426 Å, b = 5.0426 Å, c = 6.3341 Å
α = 90.00°, β = 90.00°, γ = 90.00°
Element x y z (fractional)
I1 0.0000 0.0000 0.5000
Sb1 0.0000 0.5000 0.0000
Sb2 0.5000 0.0000 0.0000
Na1 0.5000 0.5000 0.5000
Cr1 0.0000 0.0000 0.0000

***

# 5
Below is a geometry-optimized NaCrSb2I structure, with properties calculated at the GGA-PBE level.

Computed properties:
Formation energy without anion corrections ... 7.471 eV per formula unit
Space-group type ... P4/mmm (123)
Energy above the lowest structure with this stoichiometry ... 7.31 eV per formula unit

a = 5.3876 Å, b = 5.3876 Å, c = 5.5739 Å
α = 90.00°, β = 90.00°, γ = 90.00°
Element x y z (fractional)
I1 0.0000 0.0000 0.5000
Sb1 0.0000 0.5000 0.0000
Sb2 0.5000 0.0000 0.0000
Na1 0.0000 0.0000 0.0000
Cr1 0.5000 0.5000 0.5000

***

# 6
Below is a geometry-optimized NaTiCrI2 structure, with properties calculated at the GGA-PBE level.

Computed properties:
Formation energy without anion corrections ... 4.830 eV per formula unit
Space-group type ... P4/mmm (123)
Energy above the lowest structure with this stoichiometry ... 1.15 eV per formula unit

a = 5.7020 Å, b = 5.6285 Å, c = 5.7020 Å
α = 90.00°, β = 90.00°, γ = 90.00°
Element x y z (fractional)
I1 0.0000 0.0000 0.5000
I2 0.5000 0.0000 0.0000
Cr1 0.5000 0.5000 0.5000
Na1 0.0000 0.0000 0.0000
Ti1 0.0000 0.5000 0.0000

***

# 7
Below is a geometry-optimized NaTiCrI2 structure, with properties calculated at the GGA-PBE level.

Computed properties:
Formation energy without anion corrections ... 3.682 eV per formula unit
Space-group type ... P4/mmm (123)
Energy above the lowest structure with this stoichiometry ... 0.00 eV per formula unit

a = 5.5359 Å, b = 5.8290 Å, c = 5.5359 Å
α = 90.00°, β = 90.00°, γ = 90.00°
Element x y z (fractional)
I1 0.0000 0.0000 0.5000
I2 0.5000 0.0000 0.0000
Cr1 0.0000 0.0000 0.0000
Na1 0.0000 0.5000 0.0000
Ti1 0.5000 0.5000 0.5000

***

# 8
Below is a geometry-optimized Na2TlCrI structure, with properties calculated at the GGA-PBE level.

Computed properties:
Formation energy without anion corrections ... 1.863 eV per formula unit
Space-group type ... P4/mmm (123)

a = 5.9039 Å, b = 5.4582 Å, c = 5.9039 Å
α = 90.00°, β = 90.00°, γ = 90.00°
Element x y z (fractional)
I1 0.0000 0.5000 0.0000
Cr1 0.0000 0.0000 0.0000
Tl1 0.5000 0.5000 0.5000
Na1 0.0000 0.0000 0.5000
Na2 0.5000 0.0000 0.0000

***

# 9
Below is a geometry-optimized Na3Tl3CrI8 structure, with properties calculated at the GGA-PBE level.

Computed properties:
Formation energy without anion corrections ... -11.991 eV per formula unit
Space-group type ... C2/m (12)

a = 9.2975 Å, b = 9.3053 Å, c = 9.7788 Å
α = 118.47°, β = 90.00°, γ = 119.97°
Element x y z (fractional)
Na1 0.5000 0.0000 0.5000
Na2 0.5000 0.5000 0.5000
Na3 0.0000 0.5000 0.5000
Tl1 0.0000 0.0000 0.0000
Tl2 0.0000 0.5000 0.0000
Tl3 0.5000 0.5000 0.0000
Cr1 0.0000 0.0000 0.5000
I1 0.2593 0.5187 0.2785
I2 0.7407 0.4813 0.7215
I3 0.7828 0.5655 0.2975
I4 0.2172 0.4345 0.7025
I5 0.7826 0.0146 0.2975
I6 0.2174 0.9854 0.7025
I7 0.2320 0.0146 0.2975
I8 0.7680 0.9854 0.7025

***

# 10
Below is a geometry-optimized NbCrI3 structure, with properties calculated at the GGA-PBE level.

Computed properties:
Formation energy without anion corrections ... 2.549 eV per formula unit
Space-group type ... Pm-3m (221)
Energy above the lowest structure with this stoichiometry ... 0.00 eV per formula unit

a = 5.7104 Å, b = 5.7104 Å, c = 5.7104 Å
α = 90.00°, β = 90.00°, γ = 90.00°
Element x y z (fractional)
I1 0.0000 0.5000 0.0000
I2 0.0000 0.0000 0.5000
I3 0.5000 0.0000 0.0000
Cr1 0.5000 0.5000 0.5000
Nb1 0.0000 0.0000 0.0000

***

# 11
Below is a geometry-optimized NbCrI3 structure, with properties calculated at the GGA-PBE level.

Computed properties:
Formation energy without anion corrections ... 3.625 eV per formula unit
Space-group type ... Pm-3m (221)
Energy above the lowest structure with this stoichiometry ... 1.08 eV per formula unit

a = 5.5149 Å, b = 5.5149 Å, c = 5.5149 Å
α = 90.00°, β = 90.00°, γ = 90.00°
Element x y z (fractional)
I1 0.0000 0.5000 0.0000
I2 0.0000 0.0000 0.5000
I3 0.5000 0.0000 0.0000
Cr1 0.0000 0.0000 0.0000
Nb1 0.5000 0.5000 0.5000

***

# 12
Below is a geometry-optimized NbCr3I structure, with properties calculated at the GGA-PBE level.

Computed properties:
Formation energy without anion corrections ... 7.490 eV per formula unit
Space-group type ... Pm-3m (221)
Energy above the lowest structure with this stoichiometry ... 0.00 eV per formula unit

a = 4.9190 Å, b = 4.9190 Å, c = 4.9190 Å
α = 90.00°, β = 90.00°, γ = 90.00°
Element x y z (fractional)
I1 0.5000 0.5000 0.5000
Cr1 0.0000 0.5000 0.0000
Cr2 0.0000 0.0000 0.5000
Cr3 0.5000 0.0000 0.0000
Nb1 0.0000 0.0000 0.0000

***

The lowest formation energy without anion corrections belongs to which entry? Na3Tl3CrI8